This record from Alexandria via LeMat-Bulk describes a geometry-optimized Pm2O3 structure. The functional is PBE.

Output
- ρ: 6.8 g/cm3
- Energy relative to the elements, uncorrected: -16.82 eV/f.u.

abc: 6.0468 6.0468 15.5718
angles: 90.00 90.00 120.00
Space group R-3c (No. 167, hexagonal axes)
Unique sites:
Pm 0.0000 0.0000 0.1399 (multiplicity 12)
O 0.0000 0.2894 0.2500 (multiplicity 18)



This record from Alexandria via LeMat-Bulk describes a geometry-optimized Pm2O3 structure. The functional is PBE.

Output
- ρ: 7.2 g/cm3
- Energy relative to the elements, uncorrected: -16.93 eV/f.u.

abc: 14.4593 3.6582 8.9720
angles: 90.00 100.26 90.00
Space group C2/m (No. 12)
Unique sites:
Pm 0.0328 0.0000 0.3125 (multiplicity 4)
Pm 0.1346 0.5000 0.9890 (multiplicity 4)
Pm 0.1910 0.5000 0.6378 (multiplicity 4)
O 0.0000 0.5000 0.5000 (multiplicity 2)
O 0.0271 0.5000 0.1562 (multiplicity 4)
O 0.1287 0.0000 0.7842 (multiplicity 4)
O 0.1753 0.0000 0.4721 (multiplicity 4)
O 0.2038 0.0000 0.1250 (multiplicity 4)



This record from Alexandria via LeMat-Bulk describes a geometry-optimized Pm2O3 structure. The functional is PBE.

Output
- ρ: 6.6 g/cm3
- Energy relative to the elements, uncorrected: -17.08 eV/f.u.

abc: 11.0705 11.0705 11.0705
angles: 90.00 90.00 90.00
Space group Ia-3 (No. 206)
Unique sites:
Pm 0.0000 0.2500 0.4688 (multiplicity 24)
Pm 0.2500 0.2500 0.2500 (multiplicity 8)
O 0.1093 0.1499 0.6211 (multiplicity 48)



Question: Which value of energy relative to the elements, uncorrected does entry 1 give?
Answer: -16.82 eV/f.u.



Question: Look up the energy relative to the elements, uncorrected of the third one.
Answer: -17.08 eV/f.u.



Question: What is the energy relative to the elements, uncorrected in the first record?
Answer: -16.82 eV/f.u.



Question: Look up the ρ of the third one.
Answer: 6.6 g/cm3